Here is SrYTe after structural relaxation from Alexandria. Energies are from GGA-PBEsol.

Formation energy (no corrections), kJ per mole of atoms: -53.56

Unit cell a=7.3393 b=7.3393 c=7.3393 alpha=90.00 beta=90.00 gamma=90.00
With the nearest neighbours (Å) after each atom.
Space group F-43m (No. 216)
Symmetry-distinct sites (fractional):
Sr (0.0000, 0.0000, 0.0000)  4 Te 3.18
Y (0.0000, 0.0000, 0.5000)  4 Te 3.18
Te (0.2500, 0.2500, 0.7500)  4 Sr 3.18, 4 Y 3.18

Here is MnBe2As after structural relaxation from Alexandria. Energies are from GGA-PBEsol.

Energy relative to the elements, kJ/mol of atoms: 3

Unit cell a=3.3530 b=3.3530 c=7.4051 alpha=90.00 beta=90.00 gamma=90.00
With the nearest neighbours (Å) after each atom.
Space group I4/mmm (No. 139)
Symmetry-distinct sites (fractional):
Mn (0.0000, 0.0000, 0.0000)  4 As 2.37, 8 Be 2.50
Be (0.0000, 0.5000, 0.2500)  4 Be 2.37, 4 As 2.50, 4 Mn 2.50
As (0.0000, 0.0000, 0.5000)  4 Mn 2.37, 8 Be 2.50

Here is Cs3MgH5 after structural relaxation from Alexandria. Energies are from GGA-PBEsol.

E, eV per atom: -2.5609

Unit cell a=8.1470 b=8.1470 c=12.5858 alpha=90.00 beta=90.00 gamma=90.00
With the nearest neighbours (Å) after each atom.
Space group I4/mcm (No. 140)
Symmetry-distinct sites (fractional):
Cs (0.0000, 0.0000, 0.2500)  10 H 3.15-3.39
Cs (0.1774, 0.3226, 0.0000)  8 H 3.00-3.23
Mg (0.0000, 0.5000, 0.2500)  4 H 1.86
H (0.0000, 0.0000, 0.0000)  6 Cs 3.00-3.15
H (0.1285, 0.3715, 0.3393)  1 Mg 1.86

Here is RuBrF2 after structural relaxation from Alexandria. Energies are from GGA-PBEsol.

Excess energy over the best structure of this formula in the dataset, meV per atom: 0
Formation energy (no corrections), kJ per mole of atoms: -61.26

Unit cell a=2.7306 b=2.7306 c=29.2617 alpha=90.00 beta=90.00 gamma=120.00
With the nearest neighbours (Å) after each atom.
Space group R-3m (No. 166, hexagonal axes)
Symmetry-distinct sites (fractional):
Ru (0.0000, 0.0000, 0.0000)  2 F 1.85
Br (0.0000, 0.0000, 0.5000)  6 Br 2.73
F (0.0000, 0.0000, 0.0632)  1 Ru 1.85

Here is K2Zn3S4 after structural relaxation from Alexandria. Energies are from GGA-PBEsol.

Formation energy (no corrections), kJ per mole of atoms: -92.76

Unit cell a=5.6459 b=10.8143 c=13.0351 alpha=90.00 beta=90.00 gamma=90.00
With the nearest neighbours (Å) after each atom.
Space group Ibam (No. 72)
Symmetry-distinct sites (fractional):
K (0.2359, 0.1227, 0.0000)  8 S 3.27-3.46
Zn (0.0000, 0.2246, 0.2500)  4 S 2.30-2.42
Zn (0.0000, 0.5000, 0.2500)  4 S 2.34
S (0.2240, 0.3685, 0.1455)  3 Zn 2.30-2.42

Here is SrFe3Au after structural relaxation from Alexandria. Energies are from GGA-PBEsol.

Energy relative to the elements, kJ/mol of atoms: 95

Unit cell a=4.7999 b=4.7999 c=4.7999 alpha=90.00 beta=90.00 gamma=90.00
With the nearest neighbours (Å) after each atom.
Space group Pm-3m (No. 221)
Symmetry-distinct sites (fractional):
Sr (0.0000, 0.0000, 0.0000)  12 Fe 3.39
Fe (0.0000, 0.5000, 0.5000)  2 Au 2.40
Au (0.5000, 0.5000, 0.5000)  6 Fe 2.40

Here is NiMoPt2 after structural relaxation from Alexandria. Energies are from GGA-PBEsol.

Excess energy over the best structure of this formula in the dataset, meV per atom: 44
Energy relative to the elements, kJ/mol of atoms: -23

Unit cell a=3.7670 b=3.7670 c=7.8115 alpha=90.00 beta=90.00 gamma=90.00
With the nearest neighbours (Å) after each atom.
Space group I-4m2 (No. 119)
Symmetry-distinct sites (fractional):
Ni (0.0000, 0.0000, 0.0000)  8 Pt 2.66-2.71, 4 Mo 2.71
Mo (0.0000, 0.5000, 0.2500)  8 Pt 2.66-2.71, 4 Ni 2.71
Pt (0.0000, 0.0000, 0.5000)  4 Ni 2.66, 4 Mo 2.71, 4 Pt 2.71
Pt (0.0000, 0.5000, 0.7500)  4 Mo 2.66, 4 Ni 2.71, 4 Pt 2.71

Here is Hf2CdIrBr after structural relaxation from Alexandria. Energies are from GGA-PBEsol.

Formation energy (no corrections), kJ per mole of atoms: 107.25

Unit cell a=4.7463 b=4.7463 c=4.8660 alpha=90.00 beta=90.00 gamma=90.00
With the nearest neighbours (Å) after each atom.
Space group P4/mmm (No. 123)
Symmetry-distinct sites (fractional):
Hf (0.0000, 0.5000, 0.0000)  2 Br 2.37
Cd (0.0000, 0.0000, 0.5000)  2 Br 2.43
Ir (0.5000, 0.5000, 0.5000)  4 Cd 3.36, 8 Hf 3.40
Br (0.0000, 0.0000, 0.0000)  4 Hf 2.37, 2 Cd 2.43

Here is YTa2Sb after structural relaxation from Alexandria. Energies are from GGA-PBEsol.

Formation energy (no corrections), kJ per mole of atoms: 13.33

Unit cell a=3.1236 b=5.1872 c=5.2405 alpha=90.00 beta=92.74 gamma=90.00
With the nearest neighbours (Å) after each atom.
Space group P2/m (No. 10)
Symmetry-distinct sites (fractional):
Y (0.0000, 0.0000, 0.0000)  4 Sb 2.99-3.11, 2 Y 3.12, 4 Ta 3.13
Ta (0.3708, 0.5000, 0.7583)  2 Ta 2.62-2.86
Sb (0.5000, 0.0000, 0.5000)  4 Ta 2.96, 4 Y 2.99-3.11, 2 Sb 3.12

Here is AlZn after structural relaxation from Alexandria. Energies are from GGA-PBEsol.

Energy relative to the elements, kJ/mol of atoms: 3

Unit cell a=2.8061 b=2.8061 c=3.8804 alpha=90.00 beta=90.00 gamma=90.00
With the nearest neighbours (Å) after each atom.
Space group P4/mmm (No. 123)
Symmetry-distinct sites (fractional):
Al (0.0000, 0.0000, 0.0000)  8 Zn 2.78, 4 Al 2.81
Zn (0.5000, 0.5000, 0.5000)  8 Al 2.78, 4 Zn 2.81

Here is PtRhW after structural relaxation from Alexandria. Energies are from GGA-PBEsol.

Excess energy over the best structure of this formula in the dataset, meV per atom: 0
Energy relative to the elements, kJ/mol of atoms: -31

Unit cell a=2.7325 b=3.8586 c=8.2610 alpha=90.00 beta=90.00 gamma=90.00
With the nearest neighbours (Å) after each atom.
Space group Imm2 (No. 44)
Symmetry-distinct sites (fractional):
Pt (0.0000, 0.0000, 0.0000)  5 Rh 2.71-2.76, 2 Pt 2.73, 5 W 2.74
Rh (0.0000, 0.0000, 0.6721)  5 W 2.71-2.81, 5 Pt 2.71-2.76, 2 Rh 2.73
W (0.0000, 0.0000, 0.3315)  5 Rh 2.71-2.81, 2 W 2.73, 5 Pt 2.74

Here is Ta2CrRe after structural relaxation from Alexandria. Energies are from GGA-PBEsol.

Energy relative to the elements, kJ/mol of atoms: -24

Unit cell a=6.2487 b=6.2487 c=6.2487 alpha=90.00 beta=90.00 gamma=90.00
With the nearest neighbours (Å) after each atom.
Space group Fm-3m (No. 225)
Symmetry-distinct sites (fractional):
Ta (0.2500, 0.2500, 0.2500)  4 Cr 2.71, 4 Re 2.71
Cr (0.0000, 0.0000, 0.0000)  8 Ta 2.71
Re (0.0000, 0.0000, 0.5000)  8 Ta 2.71

Listing total moment for the structures above in their given order: 0.001, 0.300, 0.000, 0.001, 0.000, 1.814, 0.000, 0.000, 0.000, 0.000, 0.000, 0.000 μB per atom.
Listing calculated density for the structures above in their given order: 5.11, 5.90, 3.40, 5.77, 3.36, 6.79, 16.32, 11.23, 11.21, 5.02, 18.37, 16.34 g cm⁻³.